Ca3C4F | PBE-GGA | optimized geometry

Unit cell a=3.3379 b=5.4231 c=13.4632 alpha=90.00 beta=90.00 gamma=90.00
Closest atoms and distances in Å follow each position.
Element x y z (fractional)
Ca  0.0000  0.0000  0.0000  8 C 2.70
Ca  0.0000  0.5000  0.1582  6 C 2.66, 2 F 2.71
Ca  0.0000  0.5000  0.8418  6 C 2.66, 2 F 2.71
Ca  0.5000  0.0000  0.3418  6 C 2.66, 2 F 2.71
Ca  0.5000  0.0000  0.6582  6 C 2.66, 2 F 2.71
Ca  0.5000  0.5000  0.5000  8 C 2.70
C  0.0000  0.3818  0.3501  1 C 1.28
C  0.0000  0.3818  0.6499  1 C 1.28
C  0.0000  0.6182  0.3501  1 C 1.28
C  0.0000  0.6182  0.6499  1 C 1.28
C  0.5000  0.1182  0.1499  1 C 1.28
C  0.5000  0.1182  0.8501  1 C 1.28
C  0.5000  0.8818  0.1499  1 C 1.28
C  0.5000  0.8818  0.8501  1 C 1.28
F  0.0000  0.0000  0.5000  4 Ca 2.71, 4 C 2.89
F  0.5000  0.5000  0.0000  4 Ca 2.71, 4 C 2.89

**Spin magnetization**: 0.000 μB/atom
**Raw formation energy**: -0.517 eV/atom


La2BeSi3Pt4 | PBE-GGA | optimized geometry

Unit cell a=4.2775 b=4.2775 c=9.8974 alpha=90.00 beta=90.00 gamma=90.00
Closest atoms and distances in Å follow each position.
Element x y z (fractional)
La  0.0000  0.5000  0.2405  2 Be 3.20, 6 Si 3.20-3.28, 9 Pt 3.25-3.57
La  0.5000  0.0000  0.7595  2 Be 3.20, 6 Si 3.20-3.28, 9 Pt 3.25-3.57
Be  0.5000  0.5000  0.0000  4 Pt 2.45
Si  0.0000  0.0000  0.0000  4 Pt 2.45
Si  0.0000  0.5000  0.6319  5 Pt 2.46-2.51
Si  0.5000  0.0000  0.3681  5 Pt 2.46-2.51
Pt  0.0000  0.0000  0.5000  4 Si 2.51
Pt  0.0000  0.5000  0.8803  2 Be 2.45, 3 Si 2.45-2.46
Pt  0.5000  0.0000  0.1197  2 Be 2.45, 3 Si 2.45-2.46
Pt  0.5000  0.5000  0.5000  4 Si 2.51

**Spin magnetization**: 0.000 μB/atom
**Raw formation energy**: -1.069 eV/atom


V2SbOsPd | PBE-GGA | optimized geometry

Unit cell a=4.8883 b=4.8883 c=4.8188 alpha=90.00 beta=90.00 gamma=90.00
Closest atoms and distances in Å follow each position.
Element x y z (fractional)
V  0.0000  0.5000  0.0000  2 Sb 2.44
V  0.5000  0.0000  0.0000  2 Sb 2.44
Sb  0.0000  0.0000  0.0000  2 Os 2.41, 4 V 2.44
Os  0.0000  0.0000  0.5000  2 Sb 2.41
Pd  0.5000  0.5000  0.5000  8 V 3.43, 4 Os 3.46

**Spin magnetization**: 0.866 μB/atom
**Raw formation energy**: 1.763 eV/atom


ZrScCr2 | PBE-GGA | optimized geometry

Unit cell a=3.1084 b=3.1084 c=26.7155 alpha=90.00 beta=90.00 gamma=120.00
Closest atoms and distances in Å follow each position.
Element x y z (fractional)
Zr  0.0000  0.0000  0.0000  6 Cr 2.84, 6 Zr 3.11
Zr  0.3333  0.6667  0.6667  6 Cr 2.84, 6 Zr 3.11
Zr  0.6667  0.3333  0.3333  6 Cr 2.84, 6 Zr 3.11
Sc  0.0000  0.0000  0.5000  6 Cr 2.88, 6 Sc 3.11
Sc  0.3333  0.6667  0.1667  6 Cr 2.88, 6 Sc 3.11
Sc  0.6667  0.3333  0.8333  6 Cr 2.88, 6 Sc 3.11
Cr  0.0000  0.0000  0.2510  3 Zr 2.84, 3 Sc 2.88, 6 Cr 3.11
Cr  0.0000  0.0000  0.7490  3 Zr 2.84, 3 Sc 2.88, 6 Cr 3.11
Cr  0.3333  0.6667  0.4156  3 Zr 2.84, 3 Sc 2.88, 6 Cr 3.11
Cr  0.3333  0.6667  0.9177  3 Zr 2.84, 3 Sc 2.88, 6 Cr 3.11
Cr  0.6667  0.3333  0.0823  3 Zr 2.84, 3 Sc 2.88, 6 Cr 3.11
Cr  0.6667  0.3333  0.5844  3 Zr 2.84, 3 Sc 2.88, 6 Cr 3.11

**Spin magnetization**: 1.321 μB/atom
**DFT total energy**: -8.009 eV/atom


CuMoOs | PBE-GGA | optimized geometry

Unit cell a=3.1758 b=3.1758 c=8.4354 alpha=90.00 beta=90.00 gamma=90.00
Closest atoms and distances in Å follow each position.
Element x y z (fractional)
Cu  0.0000  0.0000  0.0000  5 Os 2.65-2.82, 5 Mo 2.66-2.79
Cu  0.5000  0.5000  0.5000  5 Os 2.65-2.82, 5 Mo 2.66-2.79
Mo  0.0000  0.0000  0.3306  5 Os 2.64-2.83, 5 Cu 2.66-2.79
Mo  0.5000  0.5000  0.8306  5 Os 2.64-2.83, 5 Cu 2.66-2.79
Os  0.0000  0.0000  0.6657  5 Mo 2.64-2.83, 5 Cu 2.65-2.82
Os  0.5000  0.5000  0.1657  5 Mo 2.64-2.83, 5 Cu 2.65-2.82

**Spin magnetization**: 0.000 μB/atom
**DFT total energy**: -8.515 eV/atom


BaYSc | PBE-GGA | optimized geometry

Unit cell a=7.7125 b=7.7125 c=7.7125 alpha=90.00 beta=90.00 gamma=90.00
Closest atoms and distances in Å follow each position.
Element x y z (fractional)
Ba  0.0000  0.0000  0.0000  4 Y 3.34, 4 Sc 3.34
Ba  0.0000  0.5000  0.5000  4 Y 3.34, 4 Sc 3.34
Ba  0.5000  0.0000  0.5000  4 Y 3.34, 4 Sc 3.34
Ba  0.5000  0.5000  0.0000  4 Y 3.34, 4 Sc 3.34
Y  0.2500  0.2500  0.2500  4 Ba 3.34
Y  0.2500  0.7500  0.7500  4 Ba 3.34
Y  0.7500  0.2500  0.7500  4 Ba 3.34
Y  0.7500  0.7500  0.2500  4 Ba 3.34
Sc  0.2500  0.2500  0.7500  4 Ba 3.34
Sc  0.2500  0.7500  0.2500  4 Ba 3.34
Sc  0.7500  0.2500  0.2500  4 Ba 3.34
Sc  0.7500  0.7500  0.7500  4 Ba 3.34

**Spin magnetization**: 0.000 μB/atom
**DFT total energy**: -3.863 eV/atom


NaSmSn2Se4 | PBE-GGA | optimized geometry

Unit cell a=7.3091 b=4.2542 c=7.4627 alpha=90.00 beta=108.59 gamma=90.00
Closest atoms and distances in Å follow each position.
Element x y z (fractional)
Na  0.0000  0.0000  0.0000  6 Se 2.99-3.04
Sm  0.5000  0.5000  0.0000  6 Se 2.93-2.97
Sn  0.0000  0.5000  0.5000  6 Se 3.07-3.09
Sn  0.5000  0.0000  0.5000  6 Se 3.01-3.02
Se  0.2582  0.5000  0.2462  1 Sm 2.93, 3 Sn 3.02-3.07, 2 Na 3.04
Se  0.2593  0.0000  0.7598  2 Sm 2.97, 1 Na 2.99, 3 Sn 3.01-3.09
Se  0.7407  0.0000  0.2402  2 Sm 2.97, 1 Na 2.99, 3 Sn 3.01-3.09
Se  0.7418  0.5000  0.7538  1 Sm 2.93, 3 Sn 3.02-3.07, 2 Na 3.04

**Spin magnetization**: 0.000 μB/atom
**Raw formation energy**: -1.007 eV/atom


ScZn8Ag3 | PBE-GGA | optimized geometry

Unit cell a=5.1266 b=5.1266 c=8.4634 alpha=90.00 beta=90.00 gamma=120.00
Closest atoms and distances in Å follow each position.
Element x y z (fractional)
Sc  0.0000  0.0000  0.0000  12 Zn 3.00-3.04, 4 Ag 3.09-3.12
Zn  0.1624  0.3247  0.6882  6 Zn 2.50-2.63
Zn  0.1624  0.8376  0.6882  6 Zn 2.50-2.63
Zn  0.3333  0.6667  0.4435  6 Zn 2.57-2.60
Zn  0.3333  0.6667  0.9394  6 Zn 2.61-2.62
Zn  0.5025  0.0050  0.1924  6 Zn 2.52-2.62
Zn  0.5025  0.4975  0.1924  6 Zn 2.52-2.62
Zn  0.6753  0.8376  0.6882  6 Zn 2.50-2.63
Zn  0.9950  0.4975  0.1924  6 Zn 2.52-2.62
Ag  0.0000  0.0000  0.3653  12 Zn 2.95-3.09, 1 Sc 3.09, 3 Ag 3.18
Ag  0.6667  0.3333  0.5025  12 Zn 3.00-3.01, 4 Ag 3.18-3.24
Ag  0.6667  0.3333  0.8850  12 Zn 2.98-3.06, 3 Sc 3.12, 1 Ag 3.24

**Spin magnetization**: 0.000 μB/atom
**DFT total energy**: -2.202 eV/atom